[1]
## CoIrBr2 (GGA-PBE)

Data for an optimized crystal structure of CoIrBr2.

The structure in CIF format:
```
data_CoIrBr2
_cell_length_a 3.312
_cell_length_b 4.121
_cell_length_c 5.645
_cell_angle_alpha 90.00
_cell_angle_beta 97.20
_cell_angle_gamma 90.00
_space_group_name_H-M_alt 'P 1 2/m 1'
_space_group_IT_number 10
loop_
_space_group_symop_operation_xyz
'x,y,z'
'-x,-y,-z'
'-x,y,-z'
'x,-y,z'
loop_
_atom_site_label
_atom_site_fract_x
_atom_site_fract_y
_atom_site_fract_z
Co1 0.000 0.000 0.000
Ir1 0.500 0.000 0.500
Br1 0.262 0.500 0.247
```

Calculated values
mass density = 8.93 g/cm3
relative energy among the computed polymorphs = 0.681 eV/atom
N(E_F) = 1.522 states/eV/atom
crystal system = monoclinic
raw formation energy = 0.93 eV per atom



[2]
## Co2IrBr (GGA-PBE)

Data for an optimized crystal structure of Co2IrBr.

The structure in CIF format:
```
data_Co2IrBr
_cell_length_a 4.500
_cell_length_b 4.500
_cell_length_c 2.858
_cell_angle_alpha 90.00
_cell_angle_beta 90.00
_cell_angle_gamma 90.00
_space_group_name_H-M_alt 'P 4/m m m'
_space_group_IT_number 123
_space_group_name_Hall '-P 4 2'
loop_
_atom_site_label
_atom_site_fract_x
_atom_site_fract_y
_atom_site_fract_z
Co1 0.000 0.500 0.000
Ir1 0.000 0.000 0.500
Br1 0.500 0.500 0.500
```

Calculated values
mass density = 11.19 g/cm3
relative energy among the computed polymorphs = 0.355 eV/atom
N(E_F) = 1.738 states/eV/atom
crystal system = tetragonal
raw formation energy = 0.79 eV per atom



[3]
## CoIr2Br (GGA-PBE)

Data for an optimized crystal structure of CoIr2Br.

The structure in CIF format:
```
data_CoIr2Br
_cell_length_a 6.229
_cell_length_b 6.229
_cell_length_c 6.229
_cell_angle_alpha 90.00
_cell_angle_beta 90.00
_cell_angle_gamma 90.00
_space_group_name_H-M_alt 'F m -3 m'
_space_group_IT_number 225
_space_group_name_Hall '-F 4 2 3'
loop_
_atom_site_label
_atom_site_fract_x
_atom_site_fract_y
_atom_site_fract_z
Co1 0.000 0.000 0.000
Ir1 0.250 0.250 0.250
Br1 0.000 0.000 0.500
```

Calculated values
mass density = 14.38 g/cm3
relative energy among the computed polymorphs = 0.587 eV/atom
N(E_F) = 1.304 states/eV/atom
crystal system = cubic
raw formation energy = 1.11 eV per atom



[4]
## Co2IrBr (GGA-PBE)

Data for an optimized crystal structure of Co2IrBr.

The structure in CIF format:
```
data_Co2IrBr
_cell_length_a 2.850
_cell_length_b 4.506
_cell_length_c 8.941
_cell_angle_alpha 90.00
_cell_angle_beta 90.00
_cell_angle_gamma 90.00
_space_group_name_H-M_alt 'I m m 2'
_space_group_IT_number 44
loop_
_space_group_symop_operation_xyz
'x,y,z'
'-x,-y,z'
'-x,y,z'
'x,-y,z'
'x+1/2,y+1/2,z+1/2'
'-x+1/2,-y+1/2,z+1/2'
'-x+1/2,y+1/2,z+1/2'
'x+1/2,-y+1/2,z+1/2'
loop_
_atom_site_label
_atom_site_fract_x
_atom_site_fract_y
_atom_site_fract_z
Co1 0.000 0.000 0.000
Co2 0.000 0.500 0.259
Ir1 0.000 0.500 0.758
Br1 0.000 0.000 0.513
```

Calculated values
mass density = 11.28 g/cm3
relative energy among the computed polymorphs = 0.376 eV/atom
N(E_F) = 1.372 states/eV/atom
crystal system = orthorhombic
raw formation energy = 0.81 eV per atom



[5]
## CoIrBr2 (GGA-PBE)

Data for an optimized crystal structure of CoIrBr2.

The structure in CIF format:
```
data_CoIrBr2
_cell_length_a 3.149
_cell_length_b 3.946
_cell_length_c 15.055
_cell_angle_alpha 90.00
_cell_angle_beta 90.00
_cell_angle_gamma 90.00
_space_group_name_H-M_alt 'I m m 2'
_space_group_IT_number 44
loop_
_space_group_symop_operation_xyz
'x,y,z'
'-x,-y,z'
'-x,y,z'
'x,-y,z'
'x+1/2,y+1/2,z+1/2'
'-x+1/2,-y+1/2,z+1/2'
'-x+1/2,y+1/2,z+1/2'
'x+1/2,-y+1/2,z+1/2'
loop_
_atom_site_label
_atom_site_fract_x
_atom_site_fract_y
_atom_site_fract_z
Co1 0.000 0.000 0.000
Ir1 0.000 0.500 0.634
Br1 0.000 0.000 0.435
Br2 0.000 0.500 0.176
```

Calculated values
mass density = 7.30 g/cm3
relative energy among the computed polymorphs = 0.390 eV/atom
N(E_F) = 1.154 states/eV/atom
crystal system = orthorhombic
raw formation energy = 0.64 eV per atom



[6]
## CoIr2Br (GGA-PBE)

Data for an optimized crystal structure of CoIr2Br.

The structure in CIF format:
```
data_CoIr2Br
_cell_length_a 3.800
_cell_length_b 3.800
_cell_length_c 18.085
_cell_angle_alpha 90.00
_cell_angle_beta 90.00
_cell_angle_gamma 90.00
_space_group_name_H-M_alt 'I -4 2 d'
_space_group_IT_number 122
_space_group_name_Hall 'I -4 2bw'
loop_
_atom_site_label
_atom_site_fract_x
_atom_site_fract_y
_atom_site_fract_z
Co1 0.000 0.000 0.000
Ir1 0.224 0.250 0.125
Br1 0.000 0.000 0.500
```

Calculated values
mass density = 13.31 g/cm3
relative energy among the computed polymorphs = 0.459 eV/atom
N(E_F) = 1.911 states/eV/atom
crystal system = tetragonal
raw formation energy = 0.99 eV per atom



[7]
## CoIr2Br (GGA-PBE)

Data for an optimized crystal structure of CoIr2Br.

The structure in CIF format:
```
data_CoIr2Br
_cell_length_a 2.801
_cell_length_b 4.671
_cell_length_c 9.313
_cell_angle_alpha 90.00
_cell_angle_beta 90.00
_cell_angle_gamma 90.00
_space_group_name_H-M_alt 'I m m 2'
_space_group_IT_number 44
loop_
_space_group_symop_operation_xyz
'x,y,z'
'-x,-y,z'
'-x,y,z'
'x,-y,z'
'x+1/2,y+1/2,z+1/2'
'-x+1/2,-y+1/2,z+1/2'
'-x+1/2,y+1/2,z+1/2'
'x+1/2,-y+1/2,z+1/2'
loop_
_atom_site_label
_atom_site_fract_x
_atom_site_fract_y
_atom_site_fract_z
Co1 0.000 0.000 0.000
Ir1 0.000 0.000 0.489
Ir2 0.000 0.500 0.741
Br1 0.000 0.500 0.242
```

Calculated values
mass density = 14.26 g/cm3
relative energy among the computed polymorphs = 0.420 eV/atom
N(E_F) = 1.652 states/eV/atom
crystal system = orthorhombic
raw formation energy = 0.95 eV per atom



[8]
## CoIr2Br (GGA-PBE)

Data for an optimized crystal structure of CoIr2Br.

The structure in CIF format:
```
data_CoIr2Br
_cell_length_a 2.811
_cell_length_b 4.580
_cell_length_c 4.786
_cell_angle_alpha 90.00
_cell_angle_beta 90.00
_cell_angle_gamma 90.00
_space_group_name_H-M_alt 'P m m m'
_space_group_IT_number 47
loop_
_space_group_symop_operation_xyz
'x,y,z'
'-x,-y,-z'
'-x,-y,z'
'x,y,-z'
'x,-y,-z'
'-x,y,z'
'-x,y,-z'
'x,-y,z'
loop_
_atom_site_label
_atom_site_fract_x
_atom_site_fract_y
_atom_site_fract_z
Co1 0.000 0.000 0.000
Ir1 0.000 0.500 0.500
Ir2 0.500 0.500 0.000
Br1 0.500 0.000 0.500
```

Calculated values
mass density = 14.10 g/cm3
relative energy among the computed polymorphs = 0.360 eV/atom
N(E_F) = 1.715 states/eV/atom
crystal system = orthorhombic
raw formation energy = 0.89 eV per atom



[9]
## Co2IrBr (GGA-PBE)

Data for an optimized crystal structure of Co2IrBr.

The structure in CIF format:
```
data_Co2IrBr
_cell_length_a 6.171
_cell_length_b 6.171
_cell_length_c 6.171
_cell_angle_alpha 90.00
_cell_angle_beta 90.00
_cell_angle_gamma 90.00
_space_group_name_H-M_alt 'F m -3 m'
_space_group_IT_number 225
_space_group_name_Hall '-F 4 2 3'
loop_
_atom_site_label
_atom_site_fract_x
_atom_site_fract_y
_atom_site_fract_z
Co1 0.250 0.250 0.250
Ir1 0.000 0.000 0.000
Br1 0.000 0.000 0.500
```

Calculated values
mass density = 11.02 g/cm3
relative energy among the computed polymorphs = 0.503 eV/atom
N(E_F) = 1.679 states/eV/atom
crystal system = cubic
raw formation energy = 0.94 eV per atom



[10]
## CoIrBr2 (GGA-PBE)

Data for an optimized crystal structure of CoIrBr2.

The structure in CIF format:
```
data_CoIrBr2
_cell_length_a 6.638
_cell_length_b 6.638
_cell_length_c 6.638
_cell_angle_alpha 90.00
_cell_angle_beta 90.00
_cell_angle_gamma 90.00
_space_group_name_H-M_alt 'F -4 3 m'
_space_group_IT_number 216
_space_group_name_Hall 'F -4 2 3'
loop_
_atom_site_label
_atom_site_fract_x
_atom_site_fract_y
_atom_site_fract_z
Co1 0.000 0.000 0.000
Ir1 0.250 0.250 0.750
Br1 0.000 0.000 0.500
Br2 0.250 0.250 0.250
```

Calculated values
mass density = 9.33 g/cm3
relative energy among the computed polymorphs = 1.049 eV/atom
N(E_F) = 1.764 states/eV/atom
crystal system = cubic
raw formation energy = 1.30 eV per atom



[11]
## Co2IrBr (GGA-PBE)

Data for an optimized crystal structure of Co2IrBr.

The structure in CIF format:
```
data_Co2IrBr
_cell_length_a 5.837
_cell_length_b 5.837
_cell_length_c 8.675
_cell_angle_alpha 90.00
_cell_angle_beta 90.00
_cell_angle_gamma 90.00
_space_group_name_H-M_alt 'I -4 2 d'
_space_group_IT_number 122
_space_group_name_Hall 'I -4 2bw'
loop_
_atom_site_label
_atom_site_fract_x
_atom_site_fract_y
_atom_site_fract_z
Co1 0.233 0.250 0.125
Ir1 0.000 0.000 0.000
Br1 0.000 0.000 0.500
```

Calculated values
mass density = 8.76 g/cm3
relative energy among the computed polymorphs = 0.436 eV/atom
N(E_F) = 0.525 states/eV/atom
crystal system = tetragonal
raw formation energy = 0.87 eV per atom



[12]
## Co3IrBr (GGA-PBE)

Data for an optimized crystal structure of Co3IrBr.

The structure in CIF format:
```
data_Co3IrBr
_cell_length_a 4.682
_cell_length_b 4.682
_cell_length_c 4.682
_cell_angle_alpha 90.00
_cell_angle_beta 90.00
_cell_angle_gamma 90.00
_space_group_name_H-M_alt 'P m -3 m'
_space_group_IT_number 221
_space_group_name_Hall '-P 4 2 3'
loop_
_atom_site_label
_atom_site_fract_x
_atom_site_fract_y
_atom_site_fract_z
Co1 0.000 0.000 0.500
Ir1 0.000 0.000 0.000
Br1 0.500 0.500 0.500
```

Calculated values
mass density = 7.26 g/cm3
relative energy among the computed polymorphs = 0.000 eV/atom
N(E_F) = 0.830 states/eV/atom
crystal system = cubic
raw formation energy = 1.26 eV per atom



[13]
## CoIr2Br (GGA-PBE)

Data for an optimized crystal structure of CoIr2Br.

The structure in CIF format:
```
data_CoIr2Br
_cell_length_a 3.940
_cell_length_b 3.940
_cell_length_c 3.914
_cell_angle_alpha 90.00
_cell_angle_beta 90.00
_cell_angle_gamma 90.00
_space_group_name_H-M_alt 'P 4/m m m'
_space_group_IT_number 123
_space_group_name_Hall '-P 4 2'
loop_
_atom_site_label
_atom_site_fract_x
_atom_site_fract_y
_atom_site_fract_z
Co1 0.000 0.000 0.000
Ir1 0.000 0.500 0.500
Br1 0.500 0.500 0.000
```

Calculated values
mass density = 14.30 g/cm3
relative energy among the computed polymorphs = 0.589 eV/atom
N(E_F) = 1.564 states/eV/atom
crystal system = tetragonal
raw formation energy = 1.12 eV per atom



[14]
## CoIr2Br (GGA-PBE)

Data for an optimized crystal structure of CoIr2Br.

The structure in CIF format:
```
data_CoIr2Br
_cell_length_a 2.730
_cell_length_b 4.645
_cell_length_c 12.276
_cell_angle_alpha 90.00
_cell_angle_beta 90.00
_cell_angle_gamma 90.00
_space_group_name_H-M_alt 'C m m m'
_space_group_IT_number 65
_space_group_name_Hall '-C 2 2'
loop_
_atom_site_label
_atom_site_fract_x
_atom_site_fract_y
_atom_site_fract_z
Co1 0.000 0.000 0.000
Ir1 0.000 0.500 0.172
Br1 0.000 0.000 0.500
```

Calculated values
mass density = 11.16 g/cm3
relative energy among the computed polymorphs = 0.170 eV/atom
N(E_F) = 1.557 states/eV/atom
crystal system = orthorhombic
raw formation energy = 0.70 eV per atom



[15]
## Co2IrBr (GGA-PBE)

Data for an optimized crystal structure of Co2IrBr.

The structure in CIF format:
```
data_Co2IrBr
_cell_length_a 7.807
_cell_length_b 2.889
_cell_length_c 7.467
_cell_angle_alpha 90.00
_cell_angle_beta 120.46
_cell_angle_gamma 90.00
_space_group_name_H-M_alt 'C 1 2/m 1'
_space_group_IT_number 12
loop_
_space_group_symop_operation_xyz
'x,y,z'
'-x,-y,-z'
'-x,y,-z'
'x,-y,z'
'x+1/2,y+1/2,z'
'-x+1/2,-y+1/2,-z'
'-x+1/2,y+1/2,-z'
'x+1/2,-y+1/2,z'
loop_
_atom_site_label
_atom_site_fract_x
_atom_site_fract_y
_atom_site_fract_z
Co1 0.138 0.000 0.331
Ir1 0.000 0.500 0.500
Br1 0.000 0.500 0.000
```

Calculated values
mass density = 8.92 g/cm3
relative energy among the computed polymorphs = 0.136 eV/atom
N(E_F) = 1.348 states/eV/atom
crystal system = monoclinic
raw formation energy = 0.57 eV per atom



[16]
## Co2IrBr (GGA-PBE)

Data for an optimized crystal structure of Co2IrBr.

The structure in CIF format:
```
data_Co2IrBr
_cell_length_a 2.919
_cell_length_b 4.509
_cell_length_c 8.647
_cell_angle_alpha 90.00
_cell_angle_beta 90.00
_cell_angle_gamma 90.00
_space_group_name_H-M_alt 'I m m m'
_space_group_IT_number 71
_space_group_name_Hall '-I 2 2'
loop_
_atom_site_label
_atom_site_fract_x
_atom_site_fract_y
_atom_site_fract_z
Co1 0.000 0.000 0.239
Ir1 0.000 0.500 0.000
Br1 0.000 0.500 0.500
```

Calculated values
mass density = 11.38 g/cm3
relative energy among the computed polymorphs = 0.424 eV/atom
N(E_F) = 1.249 states/eV/atom
crystal system = orthorhombic
raw formation energy = 0.86 eV per atom



[17]
## Co2IrBr (GGA-PBE)

Data for an optimized crystal structure of Co2IrBr.

The structure in CIF format:
```
data_Co2IrBr
_cell_length_a 3.091
_cell_length_b 3.091
_cell_length_c 6.643
_cell_angle_alpha 90.00
_cell_angle_beta 90.00
_cell_angle_gamma 90.00
_space_group_name_H-M_alt 'P 4 m m'
_space_group_IT_number 99
loop_
_space_group_symop_operation_xyz
'x,y,z'
'-y,x,z'
'-x,-y,z'
'y,-x,z'
'-x,y,z'
'y,x,z'
'x,-y,z'
'-y,-x,z'
loop_
_atom_site_label
_atom_site_fract_x
_atom_site_fract_y
_atom_site_fract_z
Co1 0.000 0.000 0.000
Co2 0.500 0.500 0.190
Ir1 0.000 0.000 0.381
Br1 0.500 0.500 0.765
```

Calculated values
mass density = 10.20 g/cm3
relative energy among the computed polymorphs = 0.191 eV/atom
N(E_F) = 1.423 states/eV/atom
crystal system = tetragonal
raw formation energy = 0.63 eV per atom



[18]
## CoIr2Br (GGA-PBE)

Data for an optimized crystal structure of CoIr2Br.

The structure in CIF format:
```
data_CoIr2Br
_cell_length_a 5.433
_cell_length_b 9.284
_cell_length_c 2.897
_cell_angle_alpha 90.00
_cell_angle_beta 121.98
_cell_angle_gamma 90.00
_space_group_name_H-M_alt 'C 1 2/m 1'
_space_group_IT_number 12
loop_
_space_group_symop_operation_xyz
'x,y,z'
'-x,-y,-z'
'-x,y,-z'
'x,-y,z'
'x+1/2,y+1/2,z'
'-x+1/2,-y+1/2,-z'
'-x+1/2,y+1/2,-z'
'x+1/2,-y+1/2,z'
loop_
_atom_site_label
_atom_site_fract_x
_atom_site_fract_y
_atom_site_fract_z
Co1 0.000 0.000 0.000
Ir1 0.250 0.250 0.000
Br1 0.000 0.500 0.000
```

Calculated values
mass density = 14.02 g/cm3
relative energy among the computed polymorphs = 0.376 eV/atom
N(E_F) = 1.673 states/eV/atom
crystal system = monoclinic
raw formation energy = 0.90 eV per atom



[19]
## CoIrBr6 (GGA-PBE)

Data for an optimized crystal structure of CoIrBr6.

The structure in CIF format:
```
data_CoIrBr6
_cell_length_a 6.898
_cell_length_b 11.939
_cell_length_c 6.890
_cell_angle_alpha 90.00
_cell_angle_beta 116.71
_cell_angle_gamma 90.00
_space_group_name_H-M_alt 'C 1 2/m 1'
_space_group_IT_number 12
loop_
_space_group_symop_operation_xyz
'x,y,z'
'-x,-y,-z'
'-x,y,-z'
'x,-y,z'
'x+1/2,y+1/2,z'
'-x+1/2,-y+1/2,-z'
'-x+1/2,y+1/2,-z'
'x+1/2,-y+1/2,z'
loop_
_atom_site_label
_atom_site_fract_x
_atom_site_fract_y
_atom_site_fract_z
Co1 0.000 0.000 0.000
Ir1 0.000 0.500 0.500
Br1 0.210 0.500 0.287
Br2 0.242 0.140 0.243
```

Calculated values
mass density = 4.79 g/cm3
N(E_F) = 1.019 states/eV/atom
crystal system = monoclinic
raw formation energy = -0.16 eV per atom



[20]
## Co2IrBr (GGA-PBE)

Data for an optimized crystal structure of Co2IrBr.

The structure in CIF format:
```
data_Co2IrBr
_cell_length_a 3.777
_cell_length_b 3.777
_cell_length_c 8.070
_cell_angle_alpha 90.00
_cell_angle_beta 90.00
_cell_angle_gamma 90.00
_space_group_name_H-M_alt 'I -4 m 2'
_space_group_IT_number 119
_space_group_name_Hall 'I -4 -2'
loop_
_atom_site_label
_atom_site_fract_x
_atom_site_fract_y
_atom_site_fract_z
Co1 0.000 0.000 0.000
Co2 0.000 0.500 0.250
Ir1 0.000 0.500 0.750
Br1 0.000 0.000 0.500
```

Calculated values
mass density = 11.25 g/cm3
relative energy among the computed polymorphs = 0.486 eV/atom
N(E_F) = 1.490 states/eV/atom
crystal system = tetragonal
raw formation energy = 0.92 eV per atom